Entry 1:
# Pm2Sm5DyEr (PBE-GGA, relaxed)
# **Energy of formation**: 281 meV/atom
# **Crystal system**: tetragonal
# **Uncorrected energy**: -4.415 eV per atom
# **M_tot**: 0.00 μB per formula unit
data_Pm2Sm5DyEr
_chemical_formula_sum 'Pm4 Sm10 Dy2 Er2'
_space_group_name_H-M_alt 'P 1'
_space_group_IT_number 1
_cell_length_a 8.639
_cell_length_b 8.639
_cell_length_c 10.162
_cell_angle_alpha 115.16
_cell_angle_beta 115.16
_cell_angle_gamma 90.00
loop_
_space_group_symop_operation_xyz
'x,y,z'
loop_
_atom_site_label
_atom_site_type_symbol
_atom_site_fract_x
_atom_site_fract_y
_atom_site_fract_z
Sm1 Sm 0.427 0.355 0.283
Sm2 Sm 0.645 0.145 0.717
Sm3 Sm 0.355 0.855 0.283
Sm4 Sm 0.000 0.000 0.000
Sm5 Sm 0.145 0.073 0.717
Sm6 Sm 0.927 0.427 0.283
Sm7 Sm 0.573 0.645 0.717
Sm8 Sm 0.500 0.500 0.000
Sm9 Sm 0.855 0.927 0.283
Sm10 Sm 0.073 0.573 0.717
Pm1 Pm 0.620 0.120 0.000
Pm2 Pm 0.380 0.880 0.000
Pm3 Pm 0.880 0.620 0.000
Pm4 Pm 0.120 0.380 0.000
Er1 Er 0.750 0.250 0.500
Er2 Er 0.250 0.750 0.500
Dy1 Dy 0.250 0.250 0.500
Dy2 Dy 0.750 0.750 0.500

Entry 2:
# InSb3O (PBE-GGA, relaxed)
# **Crystal system**: cubic
# **Uncorrected energy**: -2.713 eV per atom
# **M_tot**: 0.00 μB per formula unit
# **Energy relative to the elements, uncorrected**: 1.3002 eV per atom
data_InSb3O
_chemical_formula_sum 'In1 Sb3 O1'
_space_group_name_H-M_alt 'P 1'
_space_group_IT_number 1
_cell_length_a 5.587
_cell_length_b 5.587
_cell_length_c 5.587
_cell_angle_alpha 90.00
_cell_angle_beta 90.00
_cell_angle_gamma 90.00
loop_
_space_group_symop_operation_xyz
'x,y,z'
loop_
_atom_site_label
_atom_site_type_symbol
_atom_site_fract_x
_atom_site_fract_y
_atom_site_fract_z
Sb1 Sb 0.500 0.000 0.000
Sb2 Sb 0.000 0.000 0.500
Sb3 Sb 0.000 0.500 0.000
O1 O 0.500 0.500 0.500
In1 In 0.000 0.000 0.000

Entry 3:
# MgZr3Tl (PBE-GGA, relaxed)
# **Energy of formation**: 911 meV/atom
# **Crystal system**: cubic
# **Uncorrected energy**: -5.010 eV per atom
# **M_tot**: 0.00 μB per formula unit
data_MgZr3Tl
_chemical_formula_sum 'Mg1 Zr3 Tl1'
_space_group_name_H-M_alt 'P 1'
_space_group_IT_number 1
_cell_length_a 5.074
_cell_length_b 5.074
_cell_length_c 5.074
_cell_angle_alpha 90.00
_cell_angle_beta 90.00
_cell_angle_gamma 90.00
loop_
_space_group_symop_operation_xyz
'x,y,z'
loop_
_atom_site_label
_atom_site_type_symbol
_atom_site_fract_x
_atom_site_fract_y
_atom_site_fract_z
Zr1 Zr 0.000 0.000 0.500
Zr2 Zr 0.000 0.500 0.000
Zr3 Zr 0.500 0.000 0.000
Tl1 Tl 0.500 0.500 0.500
Mg1 Mg 0.000 0.000 0.000

Entry 4:
# ScGaTc (PBE-GGA, relaxed)
# **Energy of formation**: 95 meV/atom
# **Crystal system**: cubic
# **Uncorrected energy**: -6.480 eV per atom
# **M_tot**: 0.00 μB per formula unit
data_ScGaTc
_chemical_formula_sum 'Sc4 Ga4 Tc4'
_space_group_name_H-M_alt 'P 1'
_space_group_IT_number 1
_cell_length_a 6.162
_cell_length_b 6.162
_cell_length_c 6.162
_cell_angle_alpha 90.00
_cell_angle_beta 90.00
_cell_angle_gamma 90.00
loop_
_space_group_symop_operation_xyz
'x,y,z'
loop_
_atom_site_label
_atom_site_type_symbol
_atom_site_fract_x
_atom_site_fract_y
_atom_site_fract_z
Tc1 Tc 0.771 0.229 0.729
Tc2 Tc 0.729 0.771 0.229
Tc3 Tc 0.271 0.271 0.271
Tc4 Tc 0.229 0.729 0.771
Ga1 Ga 0.009 0.991 0.491
Ga2 Ga 0.491 0.009 0.991
Ga3 Ga 0.509 0.509 0.509
Ga4 Ga 0.991 0.491 0.009
Sc1 Sc 0.031 0.031 0.031
Sc2 Sc 0.469 0.969 0.531
Sc3 Sc 0.531 0.469 0.969
Sc4 Sc 0.969 0.531 0.469

Entry 5:
# Ba2ZrAg (PBE-GGA, relaxed)
# **Energy of formation**: 354 meV/atom
# **Crystal system**: monoclinic
# **Uncorrected energy**: -3.458 eV per atom
# **M_tot**: 0.00 μB per formula unit
data_Ba2ZrAg
_chemical_formula_sum 'Ba2 Zr1 Ag1'
_space_group_name_H-M_alt 'P 1'
_space_group_IT_number 1
_cell_length_a 5.137
_cell_length_b 4.183
_cell_length_c 7.186
_cell_angle_alpha 73.12
_cell_angle_beta 90.00
_cell_angle_gamma 90.00
loop_
_space_group_symop_operation_xyz
'x,y,z'
loop_
_atom_site_label
_atom_site_type_symbol
_atom_site_fract_x
_atom_site_fract_y
_atom_site_fract_z
Zr1 Zr 0.000 0.675 0.522
Ba1 Ba 0.500 0.278 0.318
Ba2 Ba 0.000 0.971 0.934
Ag1 Ag 0.500 0.576 0.726

Entry 6:
# GeW (PBE-GGA, relaxed)
# **Energy of formation**: 811 meV/atom
# **Crystal system**: tetragonal
# **Uncorrected energy**: -7.974 eV per atom
# **M_tot**: 0.00 μB per formula unit
data_GeW
_chemical_formula_sum 'Ge4 W4'
_space_group_name_H-M_alt 'P 1'
_space_group_IT_number 1
_cell_length_a 5.147
_cell_length_b 5.147
_cell_length_c 5.144
_cell_angle_alpha 90.00
_cell_angle_beta 90.00
_cell_angle_gamma 90.00
loop_
_space_group_symop_operation_xyz
'x,y,z'
loop_
_atom_site_label
_atom_site_type_symbol
_atom_site_fract_x
_atom_site_fract_y
_atom_site_fract_z
Ge1 Ge 0.204 0.796 0.000
Ge2 Ge 0.704 0.704 0.500
Ge3 Ge 0.796 0.204 0.000
Ge4 Ge 0.296 0.296 0.500
W1 W 0.700 0.700 0.000
W2 W 0.200 0.800 0.500
W3 W 0.800 0.200 0.500
W4 W 0.300 0.300 0.000

Entry 7:
# KZn3Ge3 (PBE-GGA, relaxed)
# **Energy of formation**: 132 meV/atom
# **Crystal system**: cubic
# **Uncorrected energy**: -2.550 eV per atom
# **M_tot**: 0.00 μB per formula unit
data_KZn3Ge3
_chemical_formula_sum 'K2 Zn6 Ge6'
_space_group_name_H-M_alt 'P 1'
_space_group_IT_number 1
_cell_length_a 7.074
_cell_length_b 7.074
_cell_length_c 7.074
_cell_angle_alpha 90.00
_cell_angle_beta 90.00
_cell_angle_gamma 90.00
loop_
_space_group_symop_operation_xyz
'x,y,z'
loop_
_atom_site_label
_atom_site_type_symbol
_atom_site_fract_x
_atom_site_fract_y
_atom_site_fract_z
Zn1 Zn 0.500 0.750 0.000
Zn2 Zn 0.000 0.500 0.250
Zn3 Zn 0.250 0.000 0.500
Zn4 Zn 0.000 0.500 0.750
Zn5 Zn 0.750 0.000 0.500
Zn6 Zn 0.500 0.250 0.000
Ge1 Ge 0.500 0.000 0.750
Ge2 Ge 0.750 0.500 0.000
Ge3 Ge 0.500 0.000 0.250
Ge4 Ge 0.000 0.750 0.500
Ge5 Ge 0.000 0.250 0.500
Ge6 Ge 0.250 0.500 0.000
K1 K 0.500 0.500 0.500
K2 K 0.000 0.000 0.000

Entry 8:
# CsK3N (PBE-GGA, relaxed)
# **Crystal system**: cubic
# **Uncorrected energy**: -1.977 eV per atom
# **M_tot**: 0.00 μB per formula unit
# **Energy relative to the elements, uncorrected**: 0.5168 eV per atom
data_CsK3N
_chemical_formula_sum 'Cs1 K3 N1'
_space_group_name_H-M_alt 'P 1'
_space_group_IT_number 1
_cell_length_a 6.053
_cell_length_b 6.053
_cell_length_c 6.053
_cell_angle_alpha 90.00
_cell_angle_beta 90.00
_cell_angle_gamma 90.00
loop_
_space_group_symop_operation_xyz
'x,y,z'
loop_
_atom_site_label
_atom_site_type_symbol
_atom_site_fract_x
_atom_site_fract_y
_atom_site_fract_z
K1 K 0.000 0.000 0.500
K2 K 0.000 0.500 0.000
K3 K 0.500 0.000 0.000
N1 N 0.000 0.000 0.000
Cs1 Cs 0.500 0.500 0.500